1.
DFT (PBE) results for an optimized crystal structure of PrDy3Pd.

Cell: 5.4858 5.4858 5.4858 Å, 90.00 90.00 90.00°
Fractional coordinates of all 5 atoms:
Pr (0.0000, 0.0000, 0.0000)
Dy (0.0000, 0.5000, 0.5000)
Dy (0.5000, 0.0000, 0.5000)
Dy (0.5000, 0.5000, 0.0000)
Pd (0.5000, 0.5000, 0.5000)

Fermi-level density of states (states/eV per cell): 9.0
Excess energy over the best structure of this formula in the dataset (eV per atom): 0.1594
Energy of formation from the pure elements (eV/atom): -0.175



2.
DFT (PBE) results for an optimized crystal structure of TaTiMo4.

Cell: 4.8082 4.8082 9.3234 Å, 115.85 115.85 31.73°
Fractional coordinates of all 6 atoms:
Ta (0.0000, 0.0000, 0.0000)
Ti (0.5000, 0.5000, 0.5000)
Mo (0.1644, 0.1644, 0.3384)
Mo (0.3353, 0.3353, 0.1675)
Mo (0.6647, 0.6647, 0.8325)
Mo (0.8356, 0.8356, 0.6616)

Fermi-level density of states (states/eV per cell): 5.9
Excess energy over the best structure of this formula in the dataset (eV per atom): 0.5322
Energy of formation from the pure elements (eV/atom): 0.350



3.
DFT (PBE) results for an optimized crystal structure of CrCdAu.

Cell: 5.1583 5.1583 5.1583 Å, 140.72 140.72 56.77°
Fractional coordinates of all 3 atoms:
Cr (0.0000, 0.0000, 0.0000)
Cd (0.3271, 0.3271, 0.0000)
Au (0.6513, 0.6513, 0.0000)

Fermi-level density of states (states/eV per cell): 1.2
Excess energy over the best structure of this formula in the dataset (eV per atom): 0.0000
Energy of formation from the pure elements (eV/atom): 0.144